Record 1
A geometry-optimized BeVNF2 structure. Source: Alexandria, functional GGA+U.

Properties
**E**: -30.292 eV/cell
**Energy above the most stable polymorph in this dataset**: 0 meV/atom
**Density of states at the Fermi level**: 0.3069 states/eV/atom
**Symmetry**: P4/mmm, No. 123
**Crystal system**: tetragonal

```
5
Lattice="-0.0325 -1.3401 -2.7725 -2.7243 -1.2800 0.6506 -2.7699 4.7460 -2.2615" Properties=species:S:1:pos:R:3 pbc="T T T"
Be 0.0000 0.0000 0.0000
N -1.3849 2.3730 -1.1307
F -1.3622 -0.6400 0.3253
F -0.0163 -0.6700 -1.3862
V -2.7634 1.0630 -2.1917
```

***

Record 2
A geometry-optimized BeVN2F structure. Source: Alexandria, functional GGA+U.

Properties
**E**: -28.375 eV/cell
**Energy above the most stable polymorph in this dataset**: 254 meV/atom
**Density of states at the Fermi level**: 0.3742 states/eV/atom
**Symmetry**: P4/mmm, No. 123
**Crystal system**: tetragonal

```
5
Lattice="-2.3984 0.7758 -2.8718 1.4035 -2.9575 -1.9710 -2.5957 -2.2681 1.5551" Properties=species:S:1:pos:R:3 pbc="T T T"
Be -1.7953 -2.2249 -1.6439
N 0.7017 -1.4788 -0.9855
N -1.1992 0.3879 -1.4359
F -1.2978 -1.1341 0.7775
V 0.0000 0.0000 0.0000
```